Entry 1:
Mg5Zn | SCAN | PBEsol geometry

abc: 5.358 5.358 5.872
angles: 62.85 62.85 60.00
Positions (direct):
Mg  0.334  0.334  0.997
Mg  0.158  0.842  0.500
Mg  0.842  0.500  0.500
Mg  0.666  0.666  0.003
Mg  0.500  0.158  0.500
Zn  0.000  0.000  0.000

The density of states at the Fermi level is 1.88 states/eV/cell. Its formation enthalpy at 0 K is -0.020 eV per atom. Its space group is R32, No. 155. The volume comes out at 20.68 Å³ per atom.

Entry 2:
AlIr3 | SCAN | PBEsol geometry

abc: 2.739 4.611 4.611
angles: 107.27 90.00 90.00
Positions (direct):
Ir  0.500  0.000  0.500
Ir  0.500  0.500  0.000
Ir  0.000  0.500  0.500
Al  0.000  0.000  0.000

The density of states at the Fermi level is 2.37 states/eV/cell. Its formation enthalpy at 0 K is -0.520 eV per atom. Its space group is Cmmm, No. 65. The volume comes out at 13.90 Å³ per atom.

Entry 3:
CdAs2SeI | SCAN | PBEsol geometry

abc: 5.004 5.204 5.204
angles: 90.00 90.00 90.00
Last column: magnetic moment on the atom in μB.
Positions (direct):
Se  0.500  0.000  0.000  -0.07
I  0.500  0.500  0.500  -0.02
As  0.000  0.000  0.500  0.16
As  0.000  0.500  0.000  0.16
Cd  0.000  0.000  0.000  0.00

The density of states at the Fermi level is 5.36 states/eV/cell. Its uncorrected formation energy is 0.863 eV/atom. Its space group is P4/mmm, No. 123. The volume comes out at 27.10 Å³ per atom.

Entry 4:
In5Pb3 | SCAN | PBEsol geometry

abc: 5.895 9.358 9.358
angles: 120.00 90.00 90.00
Positions (direct):
In  0.250  0.000  0.795
In  0.750  0.000  0.205
In  0.500  0.333  0.667
In  0.250  0.205  0.205
In  0.000  0.667  0.333
In  0.000  0.333  0.667
In  0.250  0.795  0.000
In  0.750  0.205  0.000
In  0.500  0.667  0.333
In  0.750  0.795  0.795
Pb  0.250  0.000  0.400
Pb  0.750  0.000  0.600
Pb  0.750  0.600  0.000
Pb  0.250  0.600  0.600
Pb  0.250  0.400  0.000
Pb  0.750  0.400  0.400

The density of states at the Fermi level is 9.07 states/eV/cell. Its formation enthalpy at 0 K is 0.095 eV per atom. Its space group is P6_3/mcm, No. 193. The volume comes out at 27.94 Å³ per atom.